Record 1
The following is a DFT calculation (PBE) of an optimized crystal structure of B5C7.

- Formation enthalpy at 0 K: 4.59 eV per formula unit
- Total DFT energy (no corrections): -7.78 eV/atom
- Polymorph energy (0 for the lowest one): 1.49 eV/f.u.
- Space group: Cm (8)
- Spin magnetization: 0.00 μB per atom

```
data_B5C7
_cell_length_a 6.928
_cell_length_b 7.395
_cell_length_c 7.395
_cell_angle_alpha 159.85
_cell_angle_beta 142.72
_cell_angle_gamma 43.08
_symmetry_space_group_name_H-M 'P 1'
_symmetry_Int_Tables_number 1
loop_
_symmetry_equiv_pos_as_xyz
'x,y,z'
loop_
_atom_site_label
_atom_site_fract_x
_atom_site_fract_y
_atom_site_fract_z
_atom_site_occupancy
B1 0.014 0.995 0.019 1
B2 0.555 0.275 0.280 1
C1 0.153 0.457 0.696 1
B3 0.481 0.143 0.339 1
B4 0.482 0.847 0.635 1
B5 0.021 0.336 0.684 1
C2 0.636 0.617 0.019 1
C3 0.002 0.673 0.329 1
C4 0.641 0.967 0.674 1
C5 0.091 0.787 0.304 1
C6 0.519 0.501 0.018 1
C7 0.155 0.151 0.004 1
```

Record 2
The following is a DFT calculation (PBE) of an optimized crystal structure of PrTh2SiN5.

- E_form (uncorrected): -1.216 eV per atom
- Total DFT energy (no corrections): -8.62 eV/atom
- Space group: P4/mbm (127)
- Spin magnetization: 0.00 μB per atom

```
data_PrTh2SiN5
_cell_length_a 5.794
_cell_length_b 6.720
_cell_length_c 6.720
_cell_angle_alpha 90.00
_cell_angle_beta 90.00
_cell_angle_gamma 90.00
_symmetry_space_group_name_H-M 'P 1'
_symmetry_Int_Tables_number 1
loop_
_symmetry_equiv_pos_as_xyz
'x,y,z'
loop_
_atom_site_label
_atom_site_fract_x
_atom_site_fract_y
_atom_site_fract_z
_atom_site_occupancy
N1 0.220 0.136 0.636 1
N2 0.500 0.000 0.000 1
N3 0.220 0.636 0.864 1
Th1 0.500 0.821 0.679 1
Th2 0.500 0.321 0.821 1
N4 0.500 0.500 0.500 1
N5 0.220 0.864 0.364 1
Si1 0.000 0.000 0.500 1
Pr1 0.000 0.500 0.500 1
Pr2 0.000 0.000 0.000 1
Th3 0.500 0.679 0.179 1
N6 0.780 0.636 0.864 1
N7 0.220 0.364 0.136 1
N8 0.780 0.136 0.636 1
N9 0.780 0.364 0.136 1
N10 0.780 0.864 0.364 1
Th4 0.500 0.179 0.321 1
Si2 0.000 0.500 0.000 1
```

Record 3
The following is a DFT calculation (PBE) of an optimized crystal structure of ZnSn2S6.

- E_form (uncorrected): -0.055 eV per atom
- Total DFT energy (no corrections): -3.84 eV/atom
- Space group: P4_2/mnm (136)
- Spin magnetization: 0.00 μB per atom

```
data_ZnSn2S6
_cell_length_a 6.040
_cell_length_b 6.040
_cell_length_c 11.304
_cell_angle_alpha 90.00
_cell_angle_beta 90.00
_cell_angle_gamma 90.00
_symmetry_space_group_name_H-M 'P 1'
_symmetry_Int_Tables_number 1
loop_
_symmetry_equiv_pos_as_xyz
'x,y,z'
loop_
_atom_site_label
_atom_site_fract_x
_atom_site_fract_y
_atom_site_fract_z
_atom_site_occupancy
S1 0.692 0.692 0.661 1
S2 0.199 0.801 0.500 1
Sn1 0.500 0.500 0.833 1
Sn2 0.500 0.500 0.167 1
Zn1 0.000 0.000 0.000 1
Sn3 0.000 0.000 0.333 1
S3 0.308 0.308 0.339 1
S4 0.808 0.192 0.839 1
S5 0.692 0.692 0.339 1
S6 0.801 0.199 0.500 1
Zn2 0.500 0.500 0.500 1
S7 0.308 0.308 0.661 1
S8 0.808 0.192 0.161 1
S9 0.192 0.808 0.839 1
Sn4 0.000 0.000 0.667 1
S10 0.192 0.808 0.161 1
S11 0.301 0.301 0.000 1
S12 0.699 0.699 0.000 1
```

Record 4
The following is a DFT calculation (PBE) of an optimized crystal structure of Ac3Sb2As.

- E_form (uncorrected): -1.293 eV per atom
- Total DFT energy (no corrections): -5.50 eV/atom
- Space group: Fddd (70)
- Spin magnetization: 0.00 μB per atom

```
data_Ac3Sb2As
_cell_length_a 8.176
_cell_length_b 8.176
_cell_length_c 14.904
_cell_angle_alpha 100.55
_cell_angle_beta 100.55
_cell_angle_gamma 109.43
_symmetry_space_group_name_H-M 'P 1'
_symmetry_Int_Tables_number 1
loop_
_symmetry_equiv_pos_as_xyz
'x,y,z'
loop_
_atom_site_label
_atom_site_fract_x
_atom_site_fract_y
_atom_site_fract_z
_atom_site_occupancy
Ac1 0.404 0.414 0.329 1
Sb1 0.501 0.001 0.002 1
Sb2 0.668 0.168 0.336 1
Ac2 0.846 0.336 0.171 1
Sb3 0.999 0.499 0.998 1
Ac3 0.239 0.239 0.000 1
Ac4 0.326 0.836 0.171 1
Ac5 0.586 0.596 0.671 1
Ac6 0.664 0.154 0.829 1
Sb4 0.582 0.582 0.164 1
Ac7 0.761 0.761 0.000 1
Ac8 0.164 0.674 0.829 1
Ac9 0.086 0.076 0.671 1
As1 0.917 0.917 0.833 1
Ac10 0.489 0.989 0.500 1
Sb5 0.251 0.251 0.502 1
Sb6 0.418 0.418 0.836 1
As2 0.167 0.667 0.333 1
Sb7 0.832 0.332 0.664 1
Sb8 0.749 0.749 0.498 1
As3 0.333 0.833 0.667 1
Ac11 0.011 0.511 0.500 1
Ac12 0.924 0.914 0.329 1
As4 0.083 0.083 0.167 1
```

Record 5
The following is a DFT calculation (PBE) of an optimized crystal structure of Na2SiBS4.

- E_form (uncorrected): -0.602 eV per atom
- Total DFT energy (no corrections): -4.51 eV/atom
- Space group: P1 (1)
- Spin magnetization: 0.13 μB per atom

```
data_Na2SiBS4
_cell_length_a 5.733
_cell_length_b 6.312
_cell_length_c 5.796
_cell_angle_alpha 113.39
_cell_angle_beta 118.31
_cell_angle_gamma 94.57
_symmetry_space_group_name_H-M 'P 1'
_symmetry_Int_Tables_number 1
loop_
_symmetry_equiv_pos_as_xyz
'x,y,z'
loop_
_atom_site_label
_atom_site_fract_x
_atom_site_fract_y
_atom_site_fract_z
_atom_site_occupancy
Si1 0.774 0.742 0.485 1
Na1 0.229 0.208 0.422 1
S1 0.030 0.185 0.775 1
S2 0.845 0.423 0.199 1
B1 0.995 0.496 0.993 1
S3 0.350 0.771 0.242 1
S4 0.714 0.608 0.757 1
Na2 0.451 0.954 0.901 1
```

Record 6
The following is a DFT calculation (PBE) of an optimized crystal structure of UTiTcMo.

- Formation enthalpy at 0 K: -0.33 eV per formula unit
- Total DFT energy (no corrections): -10.18 eV/atom
- Space group: F-43m (216)
- Spin magnetization: 0.24 μB per atom

```
data_UTiTcMo
_cell_length_a 4.597
_cell_length_b 4.597
_cell_length_c 4.597
_cell_angle_alpha 60.00
_cell_angle_beta 60.00
_cell_angle_gamma 60.00
_symmetry_space_group_name_H-M 'P 1'
_symmetry_Int_Tables_number 1
loop_
_symmetry_equiv_pos_as_xyz
'x,y,z'
loop_
_atom_site_label
_atom_site_fract_x
_atom_site_fract_y
_atom_site_fract_z
_atom_site_occupancy
U1 0.000 0.000 0.000 1
Tc1 0.250 0.250 0.250 1
Mo1 0.750 0.750 0.750 1
Ti1 0.500 0.500 0.500 1
```

Record 7
The following is a DFT calculation (PBE) of an optimized crystal structure of Ba2In6HgPb.

- Formation enthalpy at 0 K: -1.55 eV per formula unit
- Total DFT energy (no corrections): -2.58 eV/atom
- Space group: R-3m (166)
- Spin magnetization: 0.00 μB per atom

```
data_Ba2In6HgPb
_cell_length_a 7.487
_cell_length_b 7.487
_cell_length_c 14.891
_cell_angle_alpha 75.44
_cell_angle_beta 75.44
_cell_angle_gamma 60.00
_symmetry_space_group_name_H-M 'P 1'
_symmetry_Int_Tables_number 1
loop_
_symmetry_equiv_pos_as_xyz
'x,y,z'
loop_
_atom_site_label
_atom_site_fract_x
_atom_site_fract_y
_atom_site_fract_z
_atom_site_occupancy
Pb1 0.575 0.575 0.274 1
In1 0.930 0.330 0.409 1
In2 0.775 0.775 0.086 1
Ba1 0.109 0.109 0.672 1
Hg1 0.000 0.000 0.000 1
Ba2 0.278 0.278 0.165 1
In3 0.330 0.330 0.409 1
In4 0.670 0.670 0.591 1
In5 0.670 0.070 0.591 1
Ba3 0.891 0.891 0.328 1
In6 0.070 0.670 0.591 1
Pb2 0.425 0.425 0.726 1
Ba4 0.722 0.722 0.835 1
In7 0.225 0.225 0.914 1
In8 0.636 0.225 0.914 1
In9 0.775 0.364 0.086 1
Hg2 0.500 0.500 0.500 1
In10 0.225 0.636 0.914 1
In11 0.330 0.930 0.409 1
In12 0.364 0.775 0.086 1
```

Record 8
The following is a DFT calculation (PBE) of an optimized crystal structure of Pt2CO.

- E_form (uncorrected): 1.232 eV per atom
- Total DFT energy (no corrections): -5.33 eV/atom
- Polymorph energy (0 for the lowest one): 3.00 eV/f.u.
- Space group: Fm-3m (225)
- Spin magnetization: 0.00 μB per atom

```
data_Pt2CO
_cell_length_a 3.982
_cell_length_b 3.982
_cell_length_c 3.982
_cell_angle_alpha 60.00
_cell_angle_beta 60.00
_cell_angle_gamma 60.00
_symmetry_space_group_name_H-M 'P 1'
_symmetry_Int_Tables_number 1
loop_
_symmetry_equiv_pos_as_xyz
'x,y,z'
loop_
_atom_site_label
_atom_site_fract_x
_atom_site_fract_y
_atom_site_fract_z
_atom_site_occupancy
Pt1 0.750 0.750 0.750 1
O1 0.500 0.500 0.500 1
C1 0.000 0.000 0.000 1
Pt2 0.250 0.250 0.250 1
```

Record 9
The following is a DFT calculation (PBE) of an optimized crystal structure of CeNd2NpAs4.

- Formation enthalpy at 0 K: -10.23 eV per formula unit
- Total DFT energy (no corrections): -7.16 eV/atom
- Space group: P2/m (10)
- Spin magnetization: 0.56 μB per atom

```
data_CeNd2NpAs4
_cell_length_a 4.206
_cell_length_b 7.289
_cell_length_c 7.329
_cell_angle_alpha 109.39
_cell_angle_beta 90.00
_cell_angle_gamma 90.00
_symmetry_space_group_name_H-M 'P 1'
_symmetry_Int_Tables_number 1
loop_
_symmetry_equiv_pos_as_xyz
'x,y,z'
loop_
_atom_site_label
_atom_site_fract_x
_atom_site_fract_y
_atom_site_fract_z
_atom_site_occupancy
As1 0.000 0.750 0.242 1
Ce1 0.500 0.500 0.000 1
As2 0.500 0.757 0.761 1
Np1 0.000 0.000 0.000 1
As3 0.500 0.243 0.239 1
Nd1 0.500 0.000 0.500 1
Nd2 0.000 0.500 0.500 1
As4 0.000 0.250 0.758 1
```

Record 10
The following is a DFT calculation (PBE) of an optimized crystal structure of Sc2InSe.

- E_form (uncorrected): -0.985 eV per atom
- Total DFT energy (no corrections): -5.71 eV/atom
- Polymorph energy (0 for the lowest one): 0.01 eV/f.u.
- Space group: C2/m (12)
- Spin magnetization: 0.00 μB per atom

```
data_Sc2InSe
_cell_length_a 3.672
_cell_length_b 3.672
_cell_length_c 8.019
_cell_angle_alpha 76.85
_cell_angle_beta 76.85
_cell_angle_gamma 59.93
_symmetry_space_group_name_H-M 'P 1'
_symmetry_Int_Tables_number 1
loop_
_symmetry_equiv_pos_as_xyz
'x,y,z'
loop_
_atom_site_label
_atom_site_fract_x
_atom_site_fract_y
_atom_site_fract_z
_atom_site_occupancy
Sc1 0.487 0.487 0.537 1
Sc2 0.013 0.013 0.963 1
In1 0.250 0.250 0.250 1
Se1 0.750 0.750 0.750 1
```

Record 11
The following is a DFT calculation (PBE) of an optimized crystal structure of VGaTc2H.

- Total DFT energy (no corrections): -7.32 eV/atom
- Space group: P4/mmm (123)
- Spin magnetization: 0.00 μB per atom

```
data_VGaTc2H
_cell_length_a 4.064
_cell_length_b 4.064
_cell_length_c 3.574
_cell_angle_alpha 90.00
_cell_angle_beta 90.00
_cell_angle_gamma 90.00
_symmetry_space_group_name_H-M 'P 1'
_symmetry_Int_Tables_number 1
loop_
_symmetry_equiv_pos_as_xyz
'x,y,z'
loop_
_atom_site_label
_atom_site_fract_x
_atom_site_fract_y
_atom_site_fract_z
_atom_site_occupancy
Ga1 0.500 0.500 0.500 1
Tc1 0.500 0.000 0.000 1
Tc2 0.000 0.500 0.000 1
V1 0.000 0.000 0.500 1
H1 0.000 0.000 0.000 1
```

Record 12
The following is a DFT calculation (PBE) of an optimized crystal structure of CoAsRhSe2.

- E_form (uncorrected): 0.579 eV per atom
- Total DFT energy (no corrections): -4.64 eV/atom
- Polymorph energy (0 for the lowest one): 0.00 eV/f.u.
- Space group: P4/mmm (123)
- Spin magnetization: 0.00 μB per atom

```
data_CoAsRhSe2
_cell_length_a 4.659
_cell_length_b 4.659
_cell_length_c 4.340
_cell_angle_alpha 90.00
_cell_angle_beta 90.00
_cell_angle_gamma 90.00
_symmetry_space_group_name_H-M 'P 1'
_symmetry_Int_Tables_number 1
loop_
_symmetry_equiv_pos_as_xyz
'x,y,z'
loop_
_atom_site_label
_atom_site_fract_x
_atom_site_fract_y
_atom_site_fract_z
_atom_site_occupancy
Se1 0.500 0.000 0.000 1
Co1 0.000 0.000 0.000 1
Se2 0.000 0.500 0.000 1
Rh1 0.500 0.500 0.500 1
As1 0.000 0.000 0.500 1
```

Record 13
The following is a DFT calculation (PBE) of an optimized crystal structure of CaHgSe2.

- E_form (uncorrected): -0.845 eV per atom
- Total DFT energy (no corrections): -3.16 eV/atom
- Space group: Imm2 (44)
- Spin magnetization: 0.00 μB per atom

```
data_CaHgSe2
_cell_length_a 7.248
_cell_length_b 7.248
_cell_length_c 7.248
_cell_angle_alpha 148.95
_cell_angle_beta 148.47
_cell_angle_gamma 44.83
_symmetry_space_group_name_H-M 'P 1'
_symmetry_Int_Tables_number 1
loop_
_symmetry_equiv_pos_as_xyz
'x,y,z'
loop_
_atom_site_label
_atom_site_fract_x
_atom_site_fract_y
_atom_site_fract_z
_atom_site_occupancy
Se1 0.212 0.712 0.500 1
Ca1 0.539 0.539 0.000 1
Se2 0.961 0.961 0.000 1
Hg1 0.789 0.289 0.500 1
```